Cs2NpVO6 after structural relaxation. Source: Alexandria, functional PBE+U.

abc: 5.631 5.631 7.050
angles: 113.54 113.54 90.00
Each line ends with the local moment (μB).
Element x y z (fractional)
Cs  0.778  0.278  0.556  0.00
Cs  0.278  0.778  0.556  0.00
Np  0.015  0.016  0.031  1.35
V  0.546  0.546  0.092  0.98
O  0.744  0.745  0.004  -0.05
O  0.691  0.692  0.383  -0.08
O  0.260  0.260  0.004  -0.05
O  0.744  0.260  0.004  -0.05
O  0.183  0.183  0.366  -0.06
O  0.260  0.745  0.004  -0.05

Values from the calculation:
Spin magnetization, μB per cell: 2.00
Crystal system: tetragonal
ρ, Mg/m³: 5.8
Calculated total energy, eV for the cell shown: -73.59